Compound: YErGa2Ir4
Source: OQMD via LeMat-Bulk
Functional: PBE
Structure: optimized geometry

Cell lengths 4.573, 4.573, 6.478 Å; angles 90.00, 90.00, 90.00 degrees
Space group P4/mmm (No. 123)
One atom of each set of equivalent atoms:
Y (0.000, 0.000, 0.000)
Er (0.500, 0.500, 0.500)
Ga (0.000, 0.000, 0.500)
Ga (0.500, 0.500, 0.000)
Ir (0.000, 0.500, 0.253)

Calculated values
spin magnetization = 0.000 μB per atom
calculated volume = 16.9 Å³/atom
distance to the lowest polymorph of the same formula = 6 meV per atom
mass density = 14.3 g cm⁻³

Compound: AcTmNO
Source: OQMD via LeMat-Bulk
Functional: PBE
Structure: optimized geometry

Cell lengths 6.845, 8.301, 5.473 Å; angles 90.00, 90.00, 90.00 degrees
Space group Pca2_1 (No. 29)
One atom of each set of equivalent atoms:
Ac (0.061, 0.133, 0.000)
Tm (0.090, 0.613, 0.024)
N (0.091, 0.600, 0.436)
O (0.078, 0.160, 0.511)

Calculated values
spin magnetization = 0.152 μB per atom
calculated volume = 19.4 Å³/atom
distance to the lowest polymorph of the same formula = 16 meV per atom
mass density = 9.1 g cm⁻³

Compound: Sr5NpN6
Source: OQMD via LeMat-Bulk
Functional: PBE
Structure: optimized geometry

Cell lengths 6.373, 11.032, 6.313 Å; angles 90.00, 109.96, 90.00 degrees
Space group C2/m (No. 12)
One atom of each set of equivalent atoms:
Sr (0.000, 0.000, 0.000)
Sr (0.000, 0.167, 0.500)
Sr (0.000, 0.335, 0.000)
Np (0.000, 0.500, 0.500)
N (0.203, 0.500, 0.292)
N (0.212, 0.361, 0.718)

Calculated values
raw total energy = -80.83 eV/f.u.
spin magnetization = 0.084 μB per atom
calculated volume = 17.4 Å³/atom
mass density = 6.0 g cm⁻³

Compound: Lu2SiNiGe
Source: OQMD via LeMat-Bulk
Functional: PBE
Structure: optimized geometry

Cell lengths 10.131, 4.123, 9.960 Å; angles 90.00, 118.26, 90.00 degrees
Space group C2/m (No. 12)
One atom of each set of equivalent atoms:
Lu (0.005, 0.000, 0.332)
Lu (0.185, 0.000, 0.109)
Si (0.145, 0.500, 0.567)
Ni (0.230, 0.500, 0.369)
Ge (0.020, 0.500, 0.876)

Calculated values
raw total energy = -28.83 eV/f.u.
spin magnetization = 0.036 μB per atom
calculated volume = 18.3 Å³/atom
mass density = 9.2 g cm⁻³

Which value of spin magnetization does entry 1 give?
0.000 μB per atom